DFT (PBE) results for Pm3AlRu3 after structural relaxation.

N(E_F) = 10.26 states/eV/cell
spin magnetization = 0.000 μB per atom
E = -96.60 eV/cell

Cell: 5.777 5.777 13.610 Å, 90.00 90.00 137.48°
Element x y z (fractional)
Pm (0.008, 0.992, 0.750)
Pm (0.295, 0.705, 0.606)
Pm (0.295, 0.705, 0.894)
Pm (0.705, 0.295, 0.106)
Pm (0.705, 0.295, 0.394)
Pm (0.992, 0.008, 0.250)
Al (0.000, 0.000, 0.000)
Al (0.000, 0.000, 0.500)
Ru (0.286, 0.714, 0.250)
Ru (0.418, 0.582, 0.093)
Ru (0.418, 0.582, 0.407)
Ru (0.582, 0.418, 0.593)
Ru (0.582, 0.418, 0.907)
Ru (0.714, 0.286, 0.750)



DFT (PBE) results for CsLi4Pb3Cl12 after structural relaxation.

N(E_F) = 13.10 states/eV/cell
spin magnetization = 0.000 μB per atom
E = -69.55 eV/cell

Cell: 9.235 9.235 9.235 Å, 106.56 106.56 106.56°
Element x y z (fractional)
Cs (0.000, 0.000, 0.000)
Li (0.062, 0.500, 0.938)
Li (0.500, 0.500, 0.500)
Li (0.500, 0.938, 0.062)
Li (0.938, 0.062, 0.500)
Pb (0.000, 0.555, 0.445)
Pb (0.445, 0.000, 0.555)
Pb (0.555, 0.445, 0.000)
Cl (0.047, 0.648, 0.775)
Cl (0.096, 0.904, 0.500)
Cl (0.225, 0.352, 0.953)
Cl (0.344, 0.656, 0.500)
Cl (0.352, 0.953, 0.225)
Cl (0.500, 0.096, 0.904)
Cl (0.500, 0.344, 0.656)
Cl (0.648, 0.775, 0.047)
Cl (0.656, 0.500, 0.344)
Cl (0.775, 0.047, 0.648)
Cl (0.904, 0.500, 0.096)
Cl (0.953, 0.225, 0.352)



DFT (PBE) results for TaAlBi2Pb after structural relaxation.

N(E_F) = 6.40 states/eV/cell
spin magnetization = 0.545 μB per atom
E = -20.62 eV/cell

Cell: 5.414 5.414 5.195 Å, 90.00 90.00 90.00°
Element x y z (fractional)
Ta (0.000, 0.000, 0.000)
Al (0.500, 0.500, 0.500)
Bi (0.000, 0.500, 0.500)
Bi (0.500, 0.000, 0.500)
Pb (0.500, 0.500, 0.000)



DFT (PBE) results for ZrCdTeO6 after structural relaxation.

N(E_F) = 0.00 states/eV/cell
spin magnetization = 0.000 μB per atom
E = -116.44 eV/cell

Cell: 5.450 5.450 9.610 Å, 90.00 90.00 120.00°
Element x y z (fractional)
Zr (0.333, 0.667, 0.250)
Zr (0.667, 0.333, 0.750)
Cd (0.000, 0.000, 0.000)
Cd (0.000, 0.000, 0.500)
Te (0.333, 0.667, 0.750)
Te (0.667, 0.333, 0.250)
O (0.024, 0.377, 0.638)
O (0.024, 0.646, 0.862)
O (0.354, 0.377, 0.862)
O (0.354, 0.976, 0.638)
O (0.377, 0.024, 0.138)
O (0.377, 0.354, 0.362)
O (0.623, 0.646, 0.638)
O (0.623, 0.976, 0.862)
O (0.646, 0.024, 0.362)
O (0.646, 0.623, 0.138)
O (0.976, 0.354, 0.138)
O (0.976, 0.623, 0.362)